VASP calculation (GGA-PBE) on CrAu after structural relaxation.

Structure (CIF):
```
data_CrAu
_chemical_formula_sum 'Cr8 Au8'
_cell_length_a 10.745
_cell_length_b 10.745
_cell_length_c 2.771
_cell_angle_alpha 90.00
_cell_angle_beta 90.00
_cell_angle_gamma 90.00
_space_group_name_H-M_alt 'P 1'
_space_group_IT_number 1
loop_
_space_group_symop_operation_xyz
'x,y,z'
loop_
_atom_site_label
_atom_site_type_symbol
_atom_site_fract_x
_atom_site_fract_y
_atom_site_fract_z
Cr1 Cr 0.679 0.764 0.500
Cr2 Cr 0.821 0.736 0.000
Cr3 Cr 0.321 0.236 0.500
Cr4 Cr 0.764 0.321 0.500
Cr5 Cr 0.736 0.179 0.000
Cr6 Cr 0.264 0.821 0.000
Cr7 Cr 0.179 0.264 0.000
Cr8 Cr 0.236 0.679 0.500
Au1 Au 0.308 0.471 0.000
Au2 Au 0.029 0.808 0.500
Au3 Au 0.808 0.971 0.500
Au4 Au 0.692 0.529 0.000
Au5 Au 0.192 0.029 0.500
Au6 Au 0.529 0.308 0.000
Au7 Au 0.471 0.692 0.000
Au8 Au 0.971 0.192 0.500
```

Values from the calculation:
crystal system	tetragonal
formation enthalpy at 0 K	0.5857	eV/atom

=====

VASP calculation (GGA-PBE) on Y2ZrHg after structural relaxation.

Structure (CIF):
```
data_Y2ZrHg
_chemical_formula_sum 'Y2 Zr1 Hg1'
_cell_length_a 6.289
_cell_length_b 6.289
_cell_length_c 5.483
_cell_angle_alpha 67.95
_cell_angle_beta 67.95
_cell_angle_gamma 32.32
_space_group_name_H-M_alt 'P 1'
_space_group_IT_number 1
loop_
_space_group_symop_operation_xyz
'x,y,z'
loop_
_atom_site_label
_atom_site_type_symbol
_atom_site_fract_x
_atom_site_fract_y
_atom_site_fract_z
Hg1 Hg 0.238 0.238 0.198
Y1 Y 0.972 0.972 0.071
Y2 Y 0.760 0.760 0.707
Zr1 Zr 0.530 0.530 0.524
```

Values from the calculation:
crystal system	monoclinic
formation enthalpy at 0 K	-0.1447	eV/atom

=====

VASP calculation (GGA-PBE) on La2Nd3YHo6 after structural relaxation.

Structure (CIF):
```
data_La2Nd3YHo6
_chemical_formula_sum 'La2 Nd3 Y1 Ho6'
_cell_length_a 6.257
_cell_length_b 6.257
_cell_length_c 11.860
_cell_angle_alpha 95.03
_cell_angle_beta 95.03
_cell_angle_gamma 119.99
_space_group_name_H-M_alt 'P 1'
_space_group_IT_number 1
loop_
_space_group_symop_operation_xyz
'x,y,z'
loop_
_atom_site_label
_atom_site_type_symbol
_atom_site_fract_x
_atom_site_fract_y
_atom_site_fract_z
La1 La 0.666 0.334 0.000
La2 La 0.334 0.666 0.000
Nd1 Nd 0.833 0.167 0.500
Nd2 Nd 0.500 0.500 0.500
Nd3 Nd 0.167 0.833 0.500
Ho1 Ho 0.916 0.583 0.749
Ho2 Ho 0.751 0.751 0.251
Ho3 Ho 0.249 0.249 0.749
Ho4 Ho 0.583 0.916 0.749
Ho5 Ho 0.084 0.417 0.251
Ho6 Ho 0.417 0.084 0.251
Y1 Y 0.000 0.000 0.000
```

Values from the calculation:
crystal system	monoclinic
formation enthalpy at 0 K	0.0159	eV/atom

=====

Copy entry 2 word for word.
VASP calculation (GGA-PBE) on Y2ZrHg after structural relaxation.

Structure (CIF):
```
data_Y2ZrHg
_chemical_formula_sum 'Y2 Zr1 Hg1'
_cell_length_a 6.289
_cell_length_b 6.289
_cell_length_c 5.483
_cell_angle_alpha 67.95
_cell_angle_beta 67.95
_cell_angle_gamma 32.32
_space_group_name_H-M_alt 'P 1'
_space_group_IT_number 1
loop_
_space_group_symop_operation_xyz
'x,y,z'
loop_
_atom_site_label
_atom_site_type_symbol
_atom_site_fract_x
_atom_site_fract_y
_atom_site_fract_z
Hg1 Hg 0.238 0.238 0.198
Y1 Y 0.972 0.972 0.071
Y2 Y 0.760 0.760 0.707
Zr1 Zr 0.530 0.530 0.524
```

Values from the calculation:
crystal system	monoclinic
formation enthalpy at 0 K	-0.1447	eV/atom

=====

Q: Which value of formation enthalpy at 0 K does entry 3 give?
A: 0.0159 eV/atom

=====

Copy entry 1 word for word.
VASP calculation (GGA-PBE) on CrAu after structural relaxation.

Structure (CIF):
```
data_CrAu
_chemical_formula_sum 'Cr8 Au8'
_cell_length_a 10.745
_cell_length_b 10.745
_cell_length_c 2.771
_cell_angle_alpha 90.00
_cell_angle_beta 90.00
_cell_angle_gamma 90.00
_space_group_name_H-M_alt 'P 1'
_space_group_IT_number 1
loop_
_space_group_symop_operation_xyz
'x,y,z'
loop_
_atom_site_label
_atom_site_type_symbol
_atom_site_fract_x
_atom_site_fract_y
_atom_site_fract_z
Cr1 Cr 0.679 0.764 0.500
Cr2 Cr 0.821 0.736 0.000
Cr3 Cr 0.321 0.236 0.500
Cr4 Cr 0.764 0.321 0.500
Cr5 Cr 0.736 0.179 0.000
Cr6 Cr 0.264 0.821 0.000
Cr7 Cr 0.179 0.264 0.000
Cr8 Cr 0.236 0.679 0.500
Au1 Au 0.308 0.471 0.000
Au2 Au 0.029 0.808 0.500
Au3 Au 0.808 0.971 0.500
Au4 Au 0.692 0.529 0.000
Au5 Au 0.192 0.029 0.500
Au6 Au 0.529 0.308 0.000
Au7 Au 0.471 0.692 0.000
Au8 Au 0.971 0.192 0.500
```

Values from the calculation:
crystal system	tetragonal
formation enthalpy at 0 K	0.5857	eV/atom